Arrangement P

An optimized crystal structure of Cd2FeF, computed with GGA+U.

Properties
DOS at the Fermi energy ... 3.791 states/eV/f.u.
Space-group type ... Fm-3m, No. 225

a = 6.609 Å, b = 6.609 Å, c = 6.609 Å
α = 90.00°, β = 90.00°, γ = 90.00°
Atoms (fractional coordinates):
1 Cd 0.250 0.250 0.250
2 Cd 0.250 0.250 0.750
3 Cd 0.250 0.750 0.250
4 Cd 0.250 0.750 0.750
5 Cd 0.750 0.250 0.250
6 Cd 0.750 0.250 0.750
7 Cd 0.750 0.750 0.250
8 Cd 0.750 0.750 0.750
9 Fe 0.000 0.000 0.000
10 Fe 0.000 0.500 0.500
11 Fe 0.500 0.000 0.500
12 Fe 0.500 0.500 0.000
13 F 0.000 0.000 0.500
14 F 0.000 0.500 0.000
15 F 0.500 0.000 0.000
16 F 0.500 0.500 0.500

Arrangement Q

An optimized crystal structure of Cd2FeF, computed with GGA+U.

Properties
DOS at the Fermi energy ... 1.189 states/eV/f.u.
Space-group type ... I-42d, No. 122

a = 7.602 Å, b = 7.602 Å, c = 5.436 Å
α = 90.00°, β = 90.00°, γ = 90.00°
Atoms (fractional coordinates):
1 Cd 0.204 0.250 0.125
2 Cd 0.250 0.704 0.375
3 Cd 0.250 0.796 0.875
4 Cd 0.296 0.250 0.625
5 Cd 0.704 0.750 0.625
6 Cd 0.750 0.204 0.875
7 Cd 0.750 0.296 0.375
8 Cd 0.796 0.750 0.125
9 Fe 0.000 0.000 0.500
10 Fe 0.000 0.500 0.750
11 Fe 0.500 0.000 0.250
12 Fe 0.500 0.500 0.000
13 F 0.000 0.000 0.000
14 F 0.000 0.500 0.250
15 F 0.500 0.000 0.750
16 F 0.500 0.500 0.500

How do the structures above rank in stability at the extremes? arrangement Q comes first and arrangement P comes last.